5
Lattice="-1.9861 -3.2072 1.5981 3.1245 -0.6555 2.5676 -3.4908 4.9020 5.4994" Properties=species:S:1:pos:R:3 comment="CrI2O2 | Alexandria via LeMat-Bulk | GGA+U | relaxed" vol_a3_per_atom=27.366 crystal_system=tetragonal sg="P4/mmm (123)" de_polymorph_kj_per_mol_atoms=13.8 pbc="T T T"
I 0.0000 0.0000 0.0000
I -1.7454 2.4510 2.7497
O -0.9931 -1.6036 0.7990
O 1.5622 -0.3278 1.2838
Cr -1.1762 0.5196 4.8325